Below is a geometry-optimized LiDy2Ga4 structure, with properties calculated at the PBE level.

Output
E_form (meV per atom): 68
D(E_F) (states/eV/f.u.): 4.6
V (A^3/atom): 27.1

The structure in POSCAR format:
```
LiDy2Ga4
1.0
2.854 -5.803 0.000
2.854 5.803 0.000
0.000 0.000 5.728
Li Dy Ga
1 2 4
Direct
0.000 0.000 0.000
0.353 0.647 0.500
0.647 0.353 0.500
0.104 0.896 0.500
0.383 0.617 0.000
0.617 0.383 0.000
0.896 0.104 0.500
```